Below is SrAl2Au after structural relaxation, with properties calculated at the PBE-GGA level.

a = 4.993 Å, b = 4.993 Å, c = 4.993 Å
α = 60.00°, β = 60.00°, γ = 60.00°
Fractional positions:
1 Al 0.000 0.000 0.000
2 Al 0.250 0.250 0.250
3 Sr 0.750 0.750 0.750
4 Au 0.500 0.500 0.500

Summary:
For the final energy, the calculation gives -3.3058 eV per atom. Its space group is F-43m, No. 216.